ZrFeCu2 after structural relaxation, computed with PBE.

It has space group I-4m2 (No. 119), with a = 3.831 Å, b = 3.831 Å, c = 7.813 Å, α = 90.00°, β = 90.00° and γ = 90.00°. Symmetry generates all atoms from Zr at (0.000, 0.000, 0.000), Fe at (0.000, 0.500, 0.250), Cu at (0.000, 0.000, 0.500) and Cu at (0.000, 0.500, 0.750).

Its formation energy is 0.050 eV per atom. As for the volume: 14.3 Å³/atom.